The following is a DFT calculation (PBE-GGA) of crystalline Pr4NdY2Er2 at its relaxed geometry.

abc: 5.1316 8.1298 8.1125
angles: 107.23 90.00 108.40
Last column: nearest neighbours and their distance in Å.
Sites, in units of the cell vectors:
Pr  0.7772  0.5544  0.6698  3 Er 3.57-3.62, 3 Y 3.62-3.66, 1 Nd 3.64, 5 Pr 3.65-3.67
Pr  0.2228  0.4456  0.3302  3 Er 3.57-3.62, 3 Y 3.62-3.66, 1 Nd 3.64, 5 Pr 3.65-3.67
Pr  0.5544  0.1087  0.3304  2 Nd 3.62, 4 Y 3.63-3.66, 2 Er 3.64, 4 Pr 3.64-3.67
Pr  0.4456  0.8913  0.6696  2 Nd 3.62, 4 Y 3.63-3.66, 2 Er 3.64, 4 Pr 3.64-3.67
Nd  0.0000  0.0000  0.0000  6 Pr 3.62-3.64, 2 Y 3.62, 4 Er 3.65
Y  0.8882  0.7764  0.3309  3 Er 3.61, 1 Nd 3.62, 7 Pr 3.62-3.66, 1 Y 3.68
Y  0.1118  0.2236  0.6691  3 Er 3.61, 1 Nd 3.62, 7 Pr 3.62-3.66, 1 Y 3.68
Er  0.3315  0.6631  0.0007  5 Pr 3.57-3.64, 2 Er 3.59, 3 Y 3.61, 2 Nd 3.65
Er  0.6685  0.3369  0.9993  5 Pr 3.57-3.64, 2 Er 3.59, 3 Y 3.61, 2 Nd 3.65

- symmetry = No. 12
- energy of formation from the pure elements (eV/atom) = 0.0187
- total DFT energy (no corrections) (eV for the cell shown) = -45.77
- DOS(E_F) (states/eV/cell) = 13.28